(1)
Density functional theory data (PBE) for a relaxed structure of YHgB3.

POSCAR file:
```
YHgB3
1.0
-3.266 -0.738 3.373
3.162 -2.502 2.515
1.385 3.973 2.210
B Y Hg
3 1 1
direct
0.000 0.000 0.500
0.500 0.000 0.000
0.000 0.500 0.000
0.000 0.000 0.000
0.500 0.500 0.500
```

Properties
Crystal system: cubic



(2)
Density functional theory data (PBE) for a relaxed structure of YHgB.

POSCAR file:
```
YHgB
1.0
-4.520 -5.316 4.110
2.976 0.925 2.522
-2.068 2.839 1.398
B Hg Y
2 2 2
direct
0.485 0.707 0.136
0.286 0.609 0.136
0.759 0.848 0.136
0.142 0.037 0.136
0.468 0.200 0.636
0.985 0.459 0.636
```

Properties
Crystal system: monoclinic



(3)
Density functional theory data (PBE) for a relaxed structure of YHgB.

POSCAR file:
```
YHgB
1.0
6.304 0.000 0.000
0.000 6.024 0.000
0.000 0.000 6.200
B Y Hg
4 4 4
direct
0.500 0.000 0.500
0.000 0.000 0.000
0.000 0.500 0.000
0.500 0.500 0.500
0.665 0.750 0.835
0.835 0.250 0.335
0.165 0.750 0.665
0.335 0.250 0.165
0.248 0.250 0.670
0.252 0.750 0.170
0.752 0.750 0.330
0.748 0.250 0.830
```

Properties
Crystal system: orthorhombic



(4)
Density functional theory data (PBE) for a relaxed structure of YHgB3.

POSCAR file:
```
YHgB3
1.0
-0.330 -4.049 1.652
-0.723 -1.583 -4.025
4.313 -0.576 -0.548
B Y Hg
3 1 1
direct
0.000 0.500 0.000
0.000 0.000 0.500
0.500 0.000 0.000
0.500 0.500 0.500
0.000 0.000 0.000
```

Properties
Crystal system: cubic



(5)
Density functional theory data (PBE) for a relaxed structure of YHgB.

POSCAR file:
```
YHgB
1.0
-2.304 -6.014 3.435
4.613 -0.399 2.395
-2.066 3.387 4.544
Y Hg B
4 4 4
direct
0.165 0.250 0.347
0.835 0.750 0.653
0.665 0.250 0.153
0.335 0.750 0.847
0.959 0.750 0.161
0.041 0.250 0.839
0.459 0.750 0.339
0.541 0.250 0.661
0.663 0.750 0.034
0.337 0.250 0.966
0.837 0.250 0.534
0.163 0.750 0.466
```

Properties
Crystal system: orthorhombic



(6)
Density functional theory data (PBE) for a relaxed structure of YHgB.

POSCAR file:
```
YHgB
1.0
9.879 0.014 0.000
-0.663 3.546 0.000
0.000 0.000 3.240
Y Hg B
2 2 2
direct
0.520 0.581 0.762
0.189 0.415 0.262
0.749 0.195 0.262
0.960 0.801 0.762
0.326 0.984 0.762
0.383 0.012 0.262
```

Properties
Crystal system: orthorhombic



(7)
Density functional theory data (PBE) for a relaxed structure of YHgB.

POSCAR file:
```
YHgB
1.0
-0.130 -1.470 4.064
4.236 -0.849 -0.172
1.250 5.803 2.138
B Y Hg
2 2 2
direct
0.000 0.000 0.500
0.500 0.500 0.500
0.000 0.500 0.233
0.500 0.000 0.767
0.500 0.000 0.268
0.000 0.500 0.732
```

Properties
Crystal system: tetragonal



(8)
Density functional theory data (PBE) for a relaxed structure of YHgB.

POSCAR file:
```
YHgB
1.0
4.057 -0.003 0.005
0.954 5.349 -0.005
1.642 -0.693 5.744
B Y Hg
2 2 2
direct
0.976 0.143 0.634
0.325 0.929 0.549
0.413 0.427 0.596
0.974 0.873 0.254
0.635 0.871 0.835
0.751 0.376 0.052
```

Properties
Crystal system: triclinic



(9)
Density functional theory data (PBE) for a relaxed structure of YHgB.

POSCAR file:
```
YHgB
1.0
-1.660 11.695 -0.967
-2.244 -0.998 -2.324
-0.716 -0.319 3.289
B Y Hg
2 2 2
direct
0.354 0.228 0.761
0.354 0.895 0.094
0.518 0.724 0.591
0.191 0.398 0.264
0.965 0.839 0.371
0.744 0.284 0.484
```

Properties
Crystal system: trigonal



(10)
Density functional theory data (PBE) for a relaxed structure of YHgB.

POSCAR file:
```
YHgB
1.0
8.719 0.317 0.183
0.814 4.007 -0.011
0.385 -0.068 3.290
B Y Hg
2 2 2
direct
0.381 0.276 0.361
0.321 0.306 0.887
0.982 0.475 0.635
0.525 0.703 0.793
0.165 0.884 0.056
0.753 0.090 0.212
```

Properties
Crystal system: monoclinic



(11)
Density functional theory data (PBE) for a relaxed structure of YHgB.

POSCAR file:
```
YHgB
1.0
-2.305 -3.990 0.502
-4.615 -0.081 -0.429
-1.950 -2.030 -3.683
B Hg Y
1 1 1
direct
0.250 0.250 0.250
0.750 0.750 0.750
0.500 0.500 0.500
```

Properties
Crystal system: cubic



(12)
Density functional theory data (PBE) for a relaxed structure of YHgB.

POSCAR file:
```
YHgB
1.0
3.414 -1.971 0.000
0.000 3.942 0.000
0.000 0.000 10.016
Y Hg B
2 2 2
direct
0.000 0.000 0.500
0.000 0.000 0.000
0.667 0.333 0.750
0.333 0.667 0.250
0.000 0.000 0.250
0.000 0.000 0.750
```

Properties
Crystal system: hexagonal



Short version: excess energy over the best structure of this formula in the dataset = 2.75; 0.85; 2.23; 0.00; 1.26; 0.00; 1.81; 1.06; 0.07; 0.77; 3.51; 2.74 eV/f.u., in the order given.